1.
# ErPtAu

An optimized crystal structure of ErPtAu (PBE-GGA, the Alexandria database).

Lattice parameters (Å, degrees): 3.964 4.450 7.055 90.00 106.28 90.00
Space group P2_1/m (No. 11)
Unique sites:
Er1 0.108 0.250 0.217 (multiplicity 2)
Pt1 0.242 0.750 0.484 (multiplicity 2)
Au1 0.427 0.250 0.852 (multiplicity 2)

Uncorrected energy   -33.3 eV per cell
Energy of formation from the pure elements   -2.78 eV per formula unit

2.
# Er8PtAu2

An optimized crystal structure of Er8PtAu2 (PBE-GGA, the Alexandria database).

Lattice parameters (Å, degrees): 17.491 5.055 6.733 90.00 104.37 90.00
Space group C2/m (No. 12)
Unique sites:
Er1 0.030 0.000 0.282 (multiplicity 4)
Er2 0.089 0.500 0.940 (multiplicity 4)
Er3 0.161 0.500 0.471 (multiplicity 4)
Er4 0.206 0.000 0.824 (multiplicity 4)
Pt1 0.000 0.500 0.500 (multiplicity 2)
Au1 0.188 0.000 0.232 (multiplicity 4)

Uncorrected energy   -110.8 eV per cell
Energy of formation from the pure elements   -6.32 eV per formula unit

3.
# Er2Pt9Au

An optimized crystal structure of Er2Pt9Au (PBE-GGA, the Alexandria database).

Lattice parameters (Å, degrees): 4.071 4.071 12.266 90.00 90.00 90.00
Space group P4/mmm (No. 123)
Unique sites:
Er1 0.000 0.000 0.169 (multiplicity 2)
Pt1 0.000 0.500 0.000 (multiplicity 2)
Pt2 0.000 0.500 0.336 (multiplicity 4)
Pt3 0.500 0.500 0.168 (multiplicity 2)
Pt4 0.500 0.500 0.500 (multiplicity 1)
Au1 0.000 0.000 0.500 (multiplicity 1)

Uncorrected energy   -74.9 eV per cell
Energy of formation from the pure elements   -8.12 eV per formula unit

> uncorrected energy of number 2 (Er8PtAu2)?

-110.8 eV per cell

> Which of these has the highest energy of formation from the pure elements?

ErPtAu

> Among the records above, which one has the highest uncorrected energy?

ErPtAu